YCr4Fe8: relaxed, PBE.

The structure in POSCAR format:
```
YCr4Fe8
1.0
-4.150 4.150 2.349
4.150 -4.150 2.349
4.150 4.150 -2.349
Y Cr Fe
1 4 8
Cartesian
0.000 0.000 0.000
3.053 0.000 0.000
5.247 0.000 0.000
0.000 3.053 0.000
0.000 5.247 0.000
2.075 2.075 -1.174
2.075 -2.075 1.174
4.150 2.274 0.000
-2.075 2.075 1.174
2.274 4.150 0.000
2.075 2.075 1.174
1.876 0.000 2.349
0.000 1.876 2.349
```

Computed properties:
**Space group**: I4/mmm, No. 139
**DFT formation energy**: -0.002 eV/atom